{"formula": "CuAg14Au", "functional": "PBE-GGA", "state": "relaxed", "lattice": [[9.4988, 0.0000, 0.0000], [0.0000, 2.9304, 5.0978], [0.0000, -2.9304, 5.0978]], "species": ["Cu", "Ag", "Ag", "Ag", "Ag", "Ag", "Ag", "Ag", "Ag", "Ag", "Ag", "Ag", "Ag", "Ag", "Ag", "Au"], "frac_coords": [[0.0000, 0.0000, 0.0000], [0.0000, 0.4991, 0.9986], [0.0000, 0.9986, 0.4991], [0.2451, 0.1638, 0.6703], [0.2451, 0.6703, 0.1638], [0.2466, 0.1647, 0.1647], [0.2512, 0.6667, 0.6667], [0.5000, 0.3314, 0.8330], [0.5000, 0.3330, 0.3330], [0.5000, 0.8330, 0.3314], [0.5000, 0.8336, 0.8336], [0.7488, 0.6667, 0.6667], [0.7534, 0.1647, 0.1647], [0.7549, 0.1638, 0.6703], [0.7549, 0.6703, 0.1638], [0.0000, 0.5004, 0.5004]], "e_tot_ev_per_atom": -2.92, "crystal_system": "orthorhombic", "rho_g_cm3": 10.36, "magmom_total_mub_per_fu": 0.0}

***

{"formula": "Si2SbP", "functional": "PBE-GGA", "state": "relaxed", "lattice": [[3.4895, 0.0000, 0.0000], [0.0000, 5.2147, 0.0000], [0.0000, 0.0000, 8.6653]], "species": ["Si", "Si", "Si", "Si", "Sb", "Sb", "P", "P"], "frac_coords": [[0.0000, 0.0000, 0.0000], [0.0000, 0.5000, 0.2129], [0.5000, 0.0000, 0.2129], [0.5000, 0.5000, 0.0000], [0.0000, 0.5000, 0.7453], [0.5000, 0.0000, 0.7453], [0.0000, 0.0000, 0.3894], [0.5000, 0.5000, 0.3894]], "e_tot_ev_per_atom": -4.60, "formation_energy_uncorrected_ev_per_atom": 0.494, "crystal_system": "orthorhombic", "rho_g_cm3": 4.40, "magmom_total_mub_per_fu": 0.0, "relative_energy_mev_per_atom": 268}

***

{"formula": "SmHo4Cd", "functional": "PBE-GGA", "state": "relaxed", "lattice": [[3.5630, 0.0000, 0.0000], [0.0000, 3.5630, 0.0000], [0.0000, 0.0000, 14.1092]], "species": ["Sm", "Ho", "Ho", "Ho", "Ho", "Cd"], "frac_coords": [[0.0000, 0.0000, 0.0000], [0.0000, 0.0000, 0.3539], [0.0000, 0.0000, 0.6461], [0.5000, 0.5000, 0.1788], [0.5000, 0.5000, 0.8212], [0.5000, 0.5000, 0.5000]], "e_tot_ev_per_atom": -4.08, "crystal_system": "tetragonal", "rho_g_cm3": 8.55, "magmom_total_mub_per_fu": 0.0, "relative_energy_mev_per_atom": 0}

***

{"formula": "K2Na5Hg12", "functional": "PBE-GGA", "state": "relaxed", "lattice": [[5.3736, 3.1025, 5.4838], [-5.3736, 3.1025, 5.4838], [0.0000, -6.2049, 5.4838]], "species": ["K", "K", "Na", "Na", "Na", "Na", "Na", "Hg", "Hg", "Hg", "Hg", "Hg", "Hg", "Hg", "Hg", "Hg", "Hg", "Hg", "Hg"], "frac_coords": [[0.1483, 0.1483, 0.1483], [0.8517, 0.8517, 0.8517], [0.0000, 0.5000, 0.5000], [0.4047, 0.4047, 0.4047], [0.5000, 0.0000, 0.5000], [0.5000, 0.5000, 0.0000], [0.5953, 0.5953, 0.5953], [0.1423, 0.1423, 0.6323], [0.1423, 0.6323, 0.1423], [0.2061, 0.5000, 0.7939], [0.2061, 0.7939, 0.5000], [0.3677, 0.8577, 0.8577], [0.5000, 0.2061, 0.7939], [0.5000, 0.7939, 0.2061], [0.6323, 0.1423, 0.1423], [0.7939, 0.2061, 0.5000], [0.7939, 0.5000, 0.2061], [0.8577, 0.3677, 0.8577], [0.8577, 0.8577, 0.3677]], "e_tot_ev_per_atom": -0.86, "crystal_system": "trigonal", "rho_g_cm3": 7.87, "magmom_total_mub_per_fu": 0.0}